Below is an optimized crystal structure of LaAl8ZnAg2, with properties calculated at the PBE level.

Computed properties:
Uncorrected energy, eV/atom: -3.488
Magnetization, μB/atom: 0.00

Cell: 8.5681 5.3186 10.3480 Å, 90.00 93.94 90.00°
Space group C2/m (No. 12)
One atom of each set of equivalent atoms:
La: 0.0000 0.0000 0.0000
Al: 0.0723 0.2487 0.3053
Al: 0.1688 0.5000 0.5366
Al: 0.1756 0.5000 0.1073
Zn: 0.0000 0.0000 0.5000
Ag: 0.1720 0.5000 0.8251